No. 1
## La4Pm5Pu (PBE-GGA)

Data for a relaxed La4Pm5Pu crystal.

Cell lengths 3.6076, 11.6814, 8.9303 Å; angles 108.88, 101.65, 90.00 degrees
Closest atoms and distances in Å follow each position.
Positions (direct):
La (0.3967, 0.7096, 0.7934)  1 Pu 3.27, 2 Pm 3.38-3.49, 4 La 3.61-3.65
La (0.0891, 0.8008, 0.1782)  6 Pm 3.53-3.81, 4 La 3.61-3.65, 2 Pu 3.67
La (0.6033, 0.2904, 0.2066)  1 Pu 3.27, 2 Pm 3.38-3.49, 4 La 3.61-3.65
La (0.9109, 0.1992, 0.8218)  6 Pm 3.53-3.81, 4 La 3.61-3.65, 2 Pu 3.67
Pm (0.8074, 0.4137, 0.6149)  4 La 3.38-3.75, 6 Pm 3.61-3.75
Pm (0.7921, 0.8891, 0.5842)  5 La 3.53-3.81, 6 Pm 3.61-3.84, 2 Pu 3.88
Pm (0.2079, 0.1109, 0.4158)  5 La 3.53-3.81, 6 Pm 3.61-3.84, 2 Pu 3.88
Pm (0.5000, 0.5000, 0.0000)  6 La 3.49-3.80, 6 Pm 3.61-3.66
Pm (0.1926, 0.5863, 0.3851)  4 La 3.38-3.75, 6 Pm 3.61-3.75
Pu (0.5000, 0.0000, 0.0000)  2 La 3.27, 2 Pu 3.61

Results
* magnetization: 6.36 μB/f.u.

No. 2
## LaPmPu4 (PBE-GGA)

Data for a relaxed LaPmPu4 crystal.

Cell lengths 6.2322, 6.2322, 6.2322 Å; angles 60.00, 60.00, 60.00 degrees
Closest atoms and distances in Å follow each position.
Positions (direct):
Pm (0.2500, 0.2500, 0.2500)  12 Pu 3.65, 4 La 3.82
La (0.0000, 0.0000, 0.0000)  12 Pu 3.65, 4 Pm 3.82
Pu (0.6251, 0.6251, 0.1248)  6 Pu 3.11-3.12
Pu (0.6251, 0.1248, 0.6251)  6 Pu 3.11-3.12
Pu (0.6251, 0.6251, 0.6251)  6 Pu 3.11-3.12
Pu (0.1248, 0.6251, 0.6251)  6 Pu 3.11-3.12

Results
* magnetization: 22.63 μB/f.u.

What raw total energy values result from the calculations? In sequence: -5.690; -10.928 eV per atom.
What volume values result from the calculations? In sequence: 34.788; 28.527 Å³/atom.